No. 1
A plane-wave DFT calculation with GGA-PBE was carried out for a geometry-optimized ZnSi2Os structure.

POSCAR file:
```
ZnSi2Os
1.0
-1.965 1.965 3.519
1.965 -1.965 3.519
1.965 1.965 -3.519
Zn Si Os
1 2 1
Direct
0.000 0.000 0.000
0.250 0.750 0.500
0.750 0.250 0.500
0.500 0.500 0.000
```

Computed properties:
E_tot   -5.69 eV per atom
V   13.594 Å³/atom
Magnetic moment   0.00 μB/atom
Space-group type   I4/mmm, No. 139



No. 2
A plane-wave DFT calculation with GGA-PBE was carried out for a geometry-optimized Zn2SiOs structure.

POSCAR file:
```
Zn2SiOs
1.0
3.696 0.000 0.000
0.000 3.696 0.000
0.000 0.000 4.035
Zn Si Os
2 1 1
Direct
0.000 0.500 0.000
0.500 0.000 0.000
0.000 0.000 0.500
0.500 0.500 0.500
```

Computed properties:
E_tot   -4.61 eV per atom
V   13.784 Å³/atom
Magnetic moment   0.00 μB/atom
Space-group type   P4/mmm, No. 123



No. 3
A plane-wave DFT calculation with GGA-PBE was carried out for a geometry-optimized ZnSi2Os structure.

POSCAR file:
```
ZnSi2Os
1.0
3.003 0.000 0.000
0.000 4.122 0.000
0.000 0.000 4.511
Zn Si Os
1 2 1
Direct
0.000 0.000 0.000
0.000 0.500 0.500
0.500 0.500 0.000
0.500 0.000 0.500
```

Computed properties:
E_tot   -5.51 eV per atom
V   13.960 Å³/atom
Magnetic moment   0.00 μB/atom
Space-group type   Pmmm, No. 47



No. 4
A plane-wave DFT calculation with GGA-PBE was carried out for a geometry-optimized ZnSiOs2 structure.

POSCAR file:
```
ZnSiOs2
1.0
1.404 0.811 8.181
-1.404 0.811 8.181
0.000 -1.621 8.181
Zn Si Os
1 1 2
Direct
0.000 0.000 0.000
0.834 0.834 0.834
0.243 0.243 0.243
0.424 0.424 0.424
```

Computed properties:
E_tot   -7.30 eV per atom
V   13.965 Å³/atom
Magnetic moment   0.00 μB/atom
Space-group type   R3m, No. 160



No. 5
A plane-wave DFT calculation with GGA-PBE was carried out for a geometry-optimized Zn2SiOs structure.

POSCAR file:
```
Zn2SiOs
1.0
3.370 0.000 0.000
0.000 3.370 0.000
0.000 0.000 4.976
Zn Si Os
2 1 1
Direct
0.000 0.000 0.250
0.000 0.000 0.750
0.500 0.500 0.000
0.500 0.500 0.500
```

Computed properties:
E_tot   -4.68 eV per atom
V   14.131 Å³/atom
Magnetic moment   0.00 μB/atom
Space-group type   P4/mmm, No. 123



No. 6
A plane-wave DFT calculation with GGA-PBE was carried out for a geometry-optimized ZnSi2Os structure.

POSCAR file:
```
ZnSi2Os
1.0
2.583 -3.538 0.000
2.583 3.538 0.000
-0.011 0.000 3.021
Zn Si Os
1 2 1
Direct
0.000 0.000 0.000
0.000 0.500 0.500
0.500 0.000 0.500
0.500 0.500 0.000
```

Computed properties:
E_tot   -5.62 eV per atom
V   13.803 Å³/atom
Magnetic moment   0.00 μB/atom
Space-group type   C2/m, No. 12



No. 7
A plane-wave DFT calculation with GGA-PBE was carried out for a geometry-optimized ZnSiOs4 structure.

POSCAR file:
```
ZnSiOs4
1.0
0.000 3.644 3.644
3.644 0.000 3.644
3.644 3.644 0.000
Zn Si Os
1 1 4
Direct
0.000 0.000 0.000
0.250 0.250 0.250
0.125 0.625 0.625
0.625 0.125 0.625
0.625 0.625 0.125
0.625 0.625 0.625
```

Computed properties:
E_tot   -7.71 eV per atom
V   16.135 Å³/atom
Magnetic moment   0.00 μB/atom
Space-group type   F-43m, No. 216



No. 8
A plane-wave DFT calculation with GGA-PBE was carried out for a geometry-optimized ZnSi2Os structure.

POSCAR file:
```
ZnSi2Os
1.0
3.006 0.000 0.000
0.000 3.669 0.000
0.000 0.000 5.020
Zn Si Os
1 2 1
Direct
0.000 0.000 0.000
0.000 0.000 0.497
0.500 0.500 0.792
0.500 0.500 0.310
```

Computed properties:
E_tot   -5.75 eV per atom
V   13.841 Å³/atom
Magnetic moment   0.00 μB/atom
Space-group type   Pmm2, No. 25



No. 9
A plane-wave DFT calculation with GGA-PBE was carried out for a geometry-optimized Zn2SiOs structure.

POSCAR file:
```
Zn2SiOs
1.0
2.454 -3.818 0.000
2.454 3.818 0.000
0.000 0.000 3.054
Zn Si Os
2 1 1
Direct
0.000 0.500 0.000
0.500 0.000 0.000
0.000 0.000 0.500
0.500 0.500 0.500
```

Computed properties:
E_tot   -4.63 eV per atom
V   14.306 Å³/atom
Magnetic moment   0.00 μB/atom
Space-group type   Cmmm, No. 65



No. 10
A plane-wave DFT calculation with GGA-PBE was carried out for a geometry-optimized ZnSiOs2 structure.

POSCAR file:
```
ZnSiOs2
1.0
1.436 -2.403 0.000
1.436 2.403 0.000
0.000 0.000 8.284
Zn Si Os
1 1 2
Direct
0.000 0.000 0.000
0.000 0.000 0.500
0.500 0.500 0.272
0.500 0.500 0.728
```

Computed properties:
E_tot   -7.14 eV per atom
V   14.289 Å³/atom
Magnetic moment   0.00 μB/atom
Space-group type   Cmmm, No. 65



No. 11
A plane-wave DFT calculation with GGA-PBE was carried out for a geometry-optimized ZnSi2Os structure.

POSCAR file:
```
ZnSi2Os
1.0
1.470 0.849 7.717
-1.470 0.849 7.717
0.000 -1.697 7.717
Zn Si Os
1 2 1
Direct
0.000 0.000 0.000
0.246 0.246 0.246
0.501 0.501 0.501
0.758 0.758 0.758
```

Computed properties:
E_tot   -5.64 eV per atom
V   14.434 Å³/atom
Magnetic moment   0.00 μB/atom
Space-group type   R3m, No. 160



No. 12
A plane-wave DFT calculation with GGA-PBE was carried out for a geometry-optimized ZnSiOs2 structure.

POSCAR file:
```
ZnSiOs2
1.0
-1.865 1.865 3.962
1.865 -1.865 3.962
1.865 1.865 -3.962
Zn Si Os
1 1 2
Direct
0.000 0.000 0.000
0.750 0.250 0.500
0.250 0.750 0.500
0.500 0.500 0.000
```

Computed properties:
E_tot   -7.04 eV per atom
V   13.785 Å³/atom
Magnetic moment   0.00 μB/atom
Space-group type   I-4m2, No. 119



No. 13
A plane-wave DFT calculation with GGA-PBE was carried out for a geometry-optimized ZnSi4Os structure.

POSCAR file:
```
ZnSi4Os
1.0
0.000 3.508 3.508
3.508 0.000 3.508
3.508 3.508 0.000
Zn Si Os
1 4 1
Direct
0.000 0.000 0.000
0.375 0.375 0.375
0.375 0.375 0.874
0.375 0.874 0.375
0.874 0.375 0.375
0.750 0.750 0.750
```

Computed properties:
E_tot   -5.04 eV per atom
V   14.393 Å³/atom
Magnetic moment   0.00 μB/atom
Space-group type   F-43m, No. 216



No. 14
A plane-wave DFT calculation with GGA-PBE was carried out for a geometry-optimized Zn2SiOs structure.

POSCAR file:
```
Zn2SiOs
1.0
3.168 0.000 0.000
0.000 3.168 0.000
0.000 0.000 5.504
Zn Si Os
2 1 1
Direct
0.000 0.000 0.000
0.500 0.500 0.226
0.500 0.500 0.725
0.000 0.000 0.518
```

Computed properties:
E_tot   -4.85 eV per atom
V   13.810 Å³/atom
Magnetic moment   0.00 μB/atom
Space-group type   P4mm, No. 99



No. 15
A plane-wave DFT calculation with GGA-PBE was carried out for a geometry-optimized Zn3SiOs structure.

POSCAR file:
```
Zn3SiOs
1.0
4.774 0.000 0.000
0.000 4.774 0.000
0.000 0.000 4.774
Zn Si Os
3 1 1
Direct
0.000 0.000 0.500
0.000 0.500 0.000
0.500 0.000 0.000
0.500 0.500 0.500
0.000 0.000 0.000
```

Computed properties:
E_tot   -3.13 eV per atom
V   21.766 Å³/atom
Magnetic moment   0.00 μB/atom
Space-group type   Pm-3m, No. 221
Relative energy among the computed polymorphs   0.000 eV/atom



No. 16
A plane-wave DFT calculation with GGA-PBE was carried out for a geometry-optimized ZnSi2Os structure.

POSCAR file:
```
ZnSi2Os
1.0
-2.873 2.873 5.109
2.873 -2.873 5.109
2.873 2.873 -5.109
Zn Si Os
2 4 2
Direct
0.000 0.000 0.000
0.750 0.250 0.500
0.155 0.625 0.030
0.375 0.405 0.530
0.595 0.125 0.970
0.875 0.845 0.470
0.250 0.750 0.500
0.500 0.500 0.000
```

Computed properties:
E_tot   -5.32 eV per atom
V   21.088 Å³/atom
Magnetic moment   0.00 μB/atom
Space-group type   I-42d, No. 122



No. 17
A plane-wave DFT calculation with GGA-PBE was carried out for a geometry-optimized Zn2SiOs structure.

POSCAR file:
```
Zn2SiOs
1.0
0.000 3.026 3.026
3.026 0.000 3.026
3.026 3.026 0.000
Zn Si Os
2 1 1
Direct
0.000 0.000 0.000
0.250 0.250 0.250
0.500 0.500 0.500
0.750 0.750 0.750
```

Computed properties:
E_tot   -4.56 eV per atom
V   13.860 Å³/atom
Magnetic moment   0.00 μB/atom
Space-group type   F-43m, No. 216



No. 18
A plane-wave DFT calculation with GGA-PBE was carried out for a geometry-optimized ZnSi2Os structure.

POSCAR file:
```
ZnSi2Os
1.0
4.079 -1.489 0.000
4.079 1.489 0.000
-0.601 0.000 4.622
Zn Si Os
1 2 1
Direct
0.000 0.000 0.000
0.236 0.236 0.726
0.764 0.764 0.274
0.500 0.500 0.500
```

Computed properties:
E_tot   -5.82 eV per atom
V   14.033 Å³/atom
Magnetic moment   0.00 μB/atom
Space-group type   C2/m, No. 12



No. 19
A plane-wave DFT calculation with GGA-PBE was carried out for a geometry-optimized ZnSiOs2 structure.

POSCAR file:
```
ZnSiOs2
1.0
-1.457 2.036 4.724
1.457 -2.036 4.724
1.457 2.036 -4.724
Zn Si Os
1 1 2
Direct
0.000 0.000 0.000
0.754 0.254 0.500
0.298 0.798 0.500
0.548 0.548 0.000
```

Computed properties:
E_tot   -7.16 eV per atom
V   14.010 Å³/atom
Magnetic moment   0.00 μB/atom
Space-group type   Imm2, No. 44



No. 20
A plane-wave DFT calculation with GGA-PBE was carried out for a geometry-optimized Zn2SiOs structure.

POSCAR file:
```
Zn2SiOs
1.0
4.933 -1.384 0.000
4.933 1.384 0.000
-0.475 0.000 4.163
Zn Si Os
2 1 1
Direct
0.236 0.236 0.244
0.764 0.764 0.756
0.000 0.000 0.500
0.500 0.500 0.000
```

Computed properties:
E_tot   -4.70 eV per atom
V   14.212 Å³/atom
Magnetic moment   0.02 μB/atom
Space-group type   C2/m, No. 12